Record 1
Density functional theory data (PBE) for Sr3Ac2 after structural relaxation.

- Energy of formation from the pure elements: 2.51 kJ/mol of atoms
- Density: 4.8 Mg/m³
- Raw total energy: -2.626 eV per atom

abc: 4.1147 4.1147 51.1587
angles: 90.00 90.00 120.00
Last column: nearest neighbours and their distance in Å.
Space group R-3m (No. 166, hexagonal axes)
Asymmetric unit:
Sr (0.0000, 0.0000, 0.0000) x3  12 Sr 4.11-4.26
Sr (0.0000, 0.0000, 0.4024) x6  9 Sr 4.11-4.26, 3 Ac 4.18
Ac (0.0000, 0.0000, 0.1970) x6  9 Ac 3.91-4.11, 3 Sr 4.18

***

Record 2
Density functional theory data (PBE) for NaAu3 after structural relaxation.

- Energy of formation from the pure elements: -18.68 kJ/mol of atoms
- Density: 13.8 Mg/m³
- Raw total energy: -2.981 eV per atom

abc: 4.1173 4.1173 8.7118
angles: 90.00 90.00 90.00
Last column: nearest neighbours and their distance in Å.
Space group I4/mmm (No. 139)
Asymmetric unit:
Na (0.0000, 0.0000, 0.0000) x2  12 Au 2.91-3.00
Au (0.0000, 0.0000, 0.5000) x2  4 Na 2.91, 8 Au 3.00
Au (0.0000, 0.5000, 0.2500) x4  8 Au 2.91-3.00, 4 Na 3.00

***

Record 3
Density functional theory data (PBE) for LiCr2 after structural relaxation.

- Energy of formation from the pure elements: 50.25 kJ/mol of atoms
- Density: 4.7 Mg/m³
- Raw total energy: -6.533 eV per atom

abc: 2.9368 2.9368 9.0455
angles: 90.00 90.00 90.00
Last column: nearest neighbours and their distance in Å.
Space group I4/mmm (No. 139)
Asymmetric unit:
Li (0.0000, 0.0000, 0.0000) x2  10 Cr 2.73-2.75, 4 Li 2.94
Cr (0.0000, 0.0000, 0.3044) x4  4 Cr 2.30

***

Record 4
Density functional theory data (PBE) for GaSiNi2 after structural relaxation.

- Density: 7.5 Mg/m³
- Raw total energy: -5.383 eV per atom
- Formation energy without anion corrections: -1.52 eV/f.u.

abc: 2.7911 2.7911 6.1144
angles: 90.00 90.00 90.00
Last column: nearest neighbours and their distance in Å.
Space group P4/mmm (No. 123)
Asymmetric unit:
Ga (0.0000, 0.0000, 0.0000) x1  8 Ni 2.61, 4 Ga 2.79
Si (0.0000, 0.0000, 0.5000) x1  8 Ni 2.39
Ni (0.5000, 0.5000, 0.2803) x2  4 Si 2.39, 4 Ga 2.61

***

Record 5
Density functional theory data (PBE) for Y4Ho5Th2 after structural relaxation.

- Energy of formation from the pure elements: 41.02 kJ/mol of atoms
- Density: 7.3 Mg/m³
- Raw total energy: -5.355 eV per atom

abc: 3.4916 7.5852 28.1491
angles: 90.00 90.00 90.00
Last column: nearest neighbours and their distance in Å.
Space group Immm (No. 71)
Asymmetric unit:
Y (0.0000, 0.0000, 0.1046) x4  6 Y 3.49-3.69, 4 Ho 3.63
Y (0.0000, 0.3200, 0.5000) x4  1 Y 2.73, 2 Ho 2.99
Ho (0.0000, 0.2551, 0.3033) x8  1 Th 3.29, 4 Ho 3.47-3.49, 2 Y 3.63
Ho (0.0000, 0.5000, 0.0000) x2  4 Y 2.99
Th (0.0000, 0.0000, 0.3979) x4  4 Ho 3.29-3.36, 2 Th 3.49

***

Record 6
Density functional theory data (PBE) for Cu2Hg2Pd3 after structural relaxation.

- Energy of formation from the pure elements: -7.83 kJ/mol of atoms
- Density: 12.4 Mg/m³
- Raw total energy: -3.563 eV per atom

abc: 4.0271 19.1239 2.9387
angles: 90.00 90.00 90.00
Last column: nearest neighbours and their distance in Å.
Space group Cmmm (No. 65)
Asymmetric unit:
Cu (0.0000, 0.2167, 0.0000) x4  2 Cu 2.38, 1 Hg 2.63
Hg (0.0000, 0.0791, 0.0000) x4  1 Cu 2.63, 4 Pd 2.92, 2 Hg 2.94
Pd (0.0000, 0.3386, 0.5000) x4  6 Cu 2.71-2.76, 2 Pd 2.94, 4 Hg 2.95
Pd (0.0000, 0.5000, 0.5000) x2  8 Hg 2.92, 4 Pd 2.94-3.09

***

Record 7
Density functional theory data (PBE) for ReNiP after structural relaxation.

- Energy of formation from the pure elements: -1.55 kJ/mol of atoms
- Density: 11.8 Mg/m³
- Raw total energy: -7.896 eV per atom

abc: 2.8168 2.8168 5.6671
angles: 90.00 90.00 120.00
Last column: nearest neighbours and their distance in Å.
Space group P3m1 (No. 156)
Asymmetric unit:
Re (0.0000, 0.0000, 0.0000) x1  3 P 2.43, 3 Ni 2.69
Ni (0.6667, 0.3333, 0.3778) x1  3 P 2.37
P (0.3333, 0.6667, 0.6815) x1  3 Ni 2.37, 3 Re 2.43

***

Record 8
Density functional theory data (PBE) for LaHgOF2 after structural relaxation.

- Density: 7.0 Mg/m³
- Raw total energy: -4.390 eV per atom
- Formation energy without anion corrections: -8.02 eV/f.u.

abc: 4.6830 4.6830 4.2461
angles: 90.00 90.00 90.00
Last column: nearest neighbours and their distance in Å.
Space group P4/mmm (No. 123)
Asymmetric unit:
La (0.0000, 0.0000, 0.0000) x1  8 F 3.16, 4 O 3.31
Hg (0.5000, 0.5000, 0.5000) x1  2 O 2.12, 4 F 2.34
O (0.5000, 0.5000, 0.0000) x1  2 Hg 2.12
F (0.0000, 0.5000, 0.5000) x2  2 Hg 2.34

***

> What is the raw total energy in the seventh record?

-7.896 eV per atom